# 1
{
  "formula": "CaPr12Tm3",
  "functional": "PBE-GGA",
  "state": "relaxed",
  "sg": "No. 123",
  "cell": [[-3.371, 2.254, 3.254], [2.355, -2.294, 4.028], [12.723, 16.337, 1.866]],
  "species": ["Tm", "Tm", "Tm", "Pr", "Pr", "Pr", "Pr", "Pr", "Pr", "Pr", "Pr", "Pr", "Pr", "Pr", "Pr", "Ca"],
  "fractional_positions": [[0.000, 0.000, 0.500], [0.000, 0.000, 0.748], [0.000, 0.000, 0.252], [0.500, 0.500, 0.252], [0.000, 0.500, 0.130], [0.000, 0.500, 0.376], [0.500, 0.500, 0.000], [0.500, 0.500, 0.500], [0.000, 0.500, 0.870], [0.000, 0.500, 0.624], [0.500, 0.000, 0.130], [0.500, 0.000, 0.870], [0.500, 0.000, 0.376], [0.500, 0.500, 0.748], [0.500, 0.000, 0.624], [0.000, 0.000, 0.000]]
}

# 2
{
  "formula": "Ca2PrTm",
  "functional": "PBE-GGA",
  "state": "relaxed",
  "relative_energy_mev_per_atom": 19.2,
  "sg": "No. 123",
  "cell": [[-0.713, 3.450, 2.388], [-3.402, 2.201, -4.196], [-4.636, -2.612, 2.388]],
  "species": ["Ca", "Ca", "Tm", "Pr"],
  "fractional_positions": [[0.000, 0.000, 0.500], [0.000, 0.500, 0.000], [0.500, 0.500, 0.500], [0.500, 0.000, 0.000]]
}

# 3
{
  "formula": "Ca2PrTm",
  "functional": "PBE-GGA",
  "state": "relaxed",
  "relative_energy_mev_per_atom": 101.4,
  "sg": "No. 166",
  "cell": [[3.596, 0.000, 0.000], [1.798, 3.114, 0.000], [1.798, 1.038, 13.157]],
  "species": ["Ca", "Ca", "Pr", "Tm"],
  "fractional_positions": [[0.914, 0.914, 0.258], [0.086, 0.086, 0.742], [0.500, 0.500, 0.500], [0.000, 0.000, 0.000]]
}

# 4
{
  "formula": "CaPrYTm",
  "functional": "PBE-GGA",
  "state": "relaxed",
  "sg": "No. 216",
  "cell": [[-1.438, -4.498, 3.358], [2.175, -5.255, -1.108], [3.928, -2.322, 3.572]],
  "species": ["Tm", "Ca", "Pr", "Y"],
  "fractional_positions": [[0.500, 0.500, 0.500], [0.000, 0.000, 0.000], [0.250, 0.250, 0.250], [0.750, 0.750, 0.750]]
}

| no. | total DFT energy (no corrections) (eV per atom) | ΔH_f (0 K) (kcal/mol of atoms) | DOS(E_F) (states/eV/cell) |
| --- | --- | --- | --- |
| 1 | -4.5264 | 0.50 | 22.67 |
| 2 | -3.1501 | 3.77 | 5.78 |
| 3 | -3.0679 | 5.66 | 5.98 |
| 4 | -4.3051 | 2.86 | 6.46 |